A.
Here is a relaxed structure of BaSc2 from Alexandria. Energies are from PBE.

The structure belongs to space group I4_1/amd (No. 141, origin choice 2); the cell edges are 4.638, 4.638 and 20.822 Å and the angles 90.00°, 90.00° and 90.00°. The asymmetric unit holds Ba at (0.000, 0.250, 0.375) and Sc at (0.000, 0.250, 0.797).

The theoretical density is 3.370 Mg/m³. The crystal system is tetragonal.

=====

B.
Here is a relaxed structure of BaSc2 from Alexandria. Energies are from PBE.

The structure belongs to space group P4/mmm (No. 123); the cell edges are 5.412, 5.412 and 3.890 Å and the angles 90.00°, 90.00° and 90.00°. The asymmetric unit holds Ba at (0.000, 0.000, 0.000) and Sc at (0.000, 0.500, 0.500).

The theoretical density is 3.311 Mg/m³. The crystal system is tetragonal.

=====

Stability check: which of them is least stable? B.

=====

A.
Here is a relaxed structure of BaSc2 from Alexandria. Energies are from PBE.

The structure belongs to space group Pa-3 (No. 205); the cell edges are 7.203, 7.203 and 7.203 Å and the angles 90.00°, 90.00° and 90.00°. The asymmetric unit holds Ba at (0.000, 0.000, 0.000) and Sc at (0.137, 0.637, 0.863).

The theoretical density is 4.038 Mg/m³. The crystal system is cubic.

=====

B.
Here is a relaxed structure of BaSc2 from Alexandria. Energies are from PBE.

The structure belongs to space group Imma (No. 74); the cell edges are 3.533, 5.932 and 19.628 Å and the angles 90.00°, 90.00° and 90.00°. The asymmetric unit holds Ba at (0.000, 0.250, 0.136), Sc at (0.000, 0.250, 0.534) and Sc at (0.000, 0.250, 0.686).

The theoretical density is 3.669 Mg/m³. The crystal system is orthorhombic.

=====

C.
Here is a relaxed structure of BaSc2 from Alexandria. Energies are from PBE.

The structure belongs to space group Cmcm (No. 63); the cell edges are 3.557, 24.261 and 4.947 Å and the angles 90.00°, 90.00° and 90.00°. The asymmetric unit holds Ba at (0.000, 0.183, 0.250), Sc at (0.000, 0.073, 0.750) and Sc at (0.000, 0.462, 0.750).

The theoretical density is 3.535 Mg/m³. The crystal system is orthorhombic.

=====

D.
Here is a relaxed structure of BaSc2 from Alexandria. Energies are from PBE.

The structure belongs to space group I4/mmm (No. 139); the cell edges are 3.889, 3.889 and 13.369 Å and the angles 90.00°, 90.00° and 90.00°. The asymmetric unit holds Ba at (0.000, 0.000, 0.000) and Sc at (0.000, 0.000, 0.308).

The theoretical density is 3.733 Mg/m³. The crystal system is tetragonal.

=====

Stability check: which of them is least stable? A.

=====

A.
Here is a relaxed structure of BaSc2 from Alexandria. Energies are from PBE.

The structure belongs to space group P-3m1 (No. 164); the cell edges are 5.7548, 5.7548 and 3.3727 Å and the angles 90.00°, 90.00° and 120.00°. The asymmetric unit holds Ba at (0.0000, 0.0000, 0.0000) and Sc at (0.3333, 0.6667, 0.3363).

The theoretical density is 3.901 Mg/m³. The crystal system is trigonal.

=====

B.
Here is a relaxed structure of BaSc2 from Alexandria. Energies are from PBE.

The structure belongs to space group Cmcm (No. 63); the cell edges are 12.689, 5.704 and 5.583 Å and the angles 90.00°, 90.00° and 90.00°. The asymmetric unit holds Ba at (0.000, 0.224, 0.250) and Sc at (0.195, 0.299, 0.750).

The theoretical density is 3.736 Mg/m³. The crystal system is orthorhombic.

=====

Stability check: which of them is least stable? A.

=====

A.
Here is a relaxed structure of BaSc2 from Alexandria. Energies are from PBE.

The structure belongs to space group Pnma (No. 62); the cell edges are 7.195, 5.151 and 10.560 Å and the angles 90.00°, 90.00° and 90.00°. The asymmetric unit holds Ba at (0.140, 0.250, 0.087), Sc at (0.112, 0.250, 0.422) and Sc at (0.112, 0.250, 0.735).

The theoretical density is 3.857 Mg/m³. The crystal system is orthorhombic.

=====

B.
Here is a relaxed structure of BaSc2 from Alexandria. Energies are from PBE.

The structure belongs to space group P6_3/mmc (No. 194); the cell edges are 5.6689, 5.6689 and 6.9806 Å and the angles 90.00°, 90.00° and 120.00°. The asymmetric unit holds Ba at (0.3333, 0.6667, 0.2500), Sc at (0.0000, 0.0000, 0.0000) and Sc at (0.3333, 0.6667, 0.7500).

The theoretical density is 3.885 Mg/m³. The crystal system is hexagonal.

=====

Stability check: which of them is least stable? B.

=====

A.
Here is a relaxed structure of BaSc2 from Alexandria. Energies are from PBE.

The structure belongs to space group Cmcm (No. 63); the cell edges are 5.645, 12.475 and 5.584 Å and the angles 90.00°, 90.00° and 90.00°. The asymmetric unit holds Ba at (0.000, 0.100, 0.250), Sc at (0.000, 0.257, 0.750) and Sc at (0.000, 0.402, 0.250).

The theoretical density is 3.838 Mg/m³. The crystal system is orthorhombic.

=====

B.
Here is a relaxed structure of BaSc2 from Alexandria. Energies are from PBE.

The structure belongs to space group C2/m (No. 12); the cell edges are 12.906, 3.688 and 9.016 Å and the angles 90.00°, 109.45° and 90.00°. The asymmetric unit holds Ba at (0.159, 0.000, 0.126), Sc at (0.037, 0.500, 0.707) and Sc at (0.145, 0.000, 0.516).

The theoretical density is 3.730 Mg/m³. The crystal system is monoclinic.

=====

C.
Here is a relaxed structure of BaSc2 from Alexandria. Energies are from PBE.

The structure belongs to space group Fd-3m (No. 227, origin choice 2); the cell edges are 9.539, 9.539 and 9.539 Å and the angles 90.00°, 90.00° and 90.00°. The asymmetric unit holds Ba at (0.125, 0.125, 0.125) and Sc at (0.000, 0.000, 0.500).

The theoretical density is 3.478 Mg/m³. The crystal system is cubic.

=====

Stability check: which of them is least stable? C.

=====

A.
Here is a relaxed structure of Ba5Sc3 from Alexandria. Energies are from PBE.

The structure belongs to space group Fmm2 (No. 42); the cell edges are 6.863, 20.686 and 20.654 Å and the angles 90.00°, 90.00° and 90.00°. The asymmetric unit holds Ba at (0.000, 0.098, 0.000), Ba at (0.000, 0.099, 0.640), Ba at (0.000, 0.178, 0.419), Ba at (0.000, 0.179, 0.222), Ba at (0.250, 0.000, 0.320), Sc at (0.000, 0.000, 0.148), Sc at (0.000, 0.000, 0.492), Sc at (0.000, 0.172, 0.820) and Sc at (0.250, 0.250, 0.070).

The theoretical density is 3.722 Mg/m³. The crystal system is orthorhombic.

=====

B.
Here is a relaxed structure of Ba5Sc3 from Alexandria. Energies are from PBE.

The structure belongs to space group Cmmm (No. 65); the cell edges are 13.083, 13.116 and 4.154 Å and the angles 90.00°, 90.00° and 90.00°. The asymmetric unit holds Ba at (0.000, 0.000, 0.000), Ba at (0.215, 0.500, 0.500), Ba at (0.250, 0.250, 0.000), Sc at (0.000, 0.304, 0.500) and Sc at (0.000, 0.500, 0.000).

The theoretical density is 3.828 Mg/m³. The crystal system is orthorhombic.

=====

Stability check: which of them is least stable? A.

=====

A.
Here is a relaxed structure of Ba2Sc2Se from Alexandria. Energies are from PBE.

The structure belongs to space group P4/mbm (No. 127); the cell edges are 7.323, 7.323 and 6.236 Å and the angles 90.00°, 90.00° and 90.00°. The asymmetric unit holds Ba at (0.169, 0.331, 0.000), Sc at (0.157, 0.657, 0.500) and Se at (0.000, 0.000, 0.500).

The theoretical density is 4.404 Mg/m³. The crystal system is tetragonal.

=====

B.
Here is a relaxed structure of Ba2Sc2Se from Alexandria. Energies are from PBE.

The structure belongs to space group I4/mmm (No. 139); the cell edges are 4.482, 4.482 and 17.485 Å and the angles 90.00°, 90.00° and 90.00°. The asymmetric unit holds Ba at (0.000, 0.500, 0.250), Sc at (0.000, 0.000, 0.075) and Se at (0.000, 0.000, 0.500).

The theoretical density is 4.193 Mg/m³. The crystal system is tetragonal.

=====

Stability check: which of them is least stable? B.

=====

A.
Here is a relaxed structure of BaSc2Se4 from Alexandria. Energies are from PBE.

The structure belongs to space group Pnma (No. 62); the cell edges are 12.535, 4.030 and 14.604 Å and the angles 90.00°, 90.00° and 90.00°. The asymmetric unit holds Ba at (0.239, 0.250, 0.168), Sc at (0.060, 0.250, 0.392), Sc at (0.078, 0.250, 0.901), Se at (0.026, 0.750, 0.784), Se at (0.082, 0.250, 0.575), Se at (0.120, 0.750, 0.023) and Se at (0.204, 0.750, 0.350).

The theoretical density is 4.889 Mg/m³. The crystal system is orthorhombic.

=====

B.
Here is a relaxed structure of BaSc2Se4 from Alexandria. Energies are from PBE.

The structure belongs to space group Cmcm (No. 63); the cell edges are 4.073, 13.170 and 13.754 Å and the angles 90.00°, 90.00° and 90.00°. The asymmetric unit holds Ba at (0.000, 0.109, 0.250), Sc at (0.000, 0.365, 0.066), Se at (0.000, 0.000, 0.000), Se at (0.000, 0.265, 0.607) and Se at (0.000, 0.421, 0.250).

The theoretical density is 4.889 Mg/m³. The crystal system is orthorhombic.

=====

Stability check: which of them is least stable? B.

=====

A.
Here is a relaxed structure of Ba2SrScSe from Alexandria. Energies are from PBE.

The structure belongs to space group P4/mmm (No. 123); the cell edges are 6.422, 6.422 and 5.404 Å and the angles 90.00°, 90.00° and 90.00°. The asymmetric unit holds Ba at (0.000, 0.500, 0.000), Sr at (0.000, 0.000, 0.000), Sc at (0.000, 0.000, 0.500) and Se at (0.500, 0.500, 0.500).

The theoretical density is 3.623 Mg/m³. The crystal system is tetragonal.

=====

B.
Here is a relaxed structure of Ba2SrScSe from Alexandria. Energies are from PBE.

The structure belongs to space group P4/mmm (No. 123); the cell edges are 7.023, 7.023 and 5.041 Å and the angles 90.00°, 90.00° and 90.00°. The asymmetric unit holds Ba at (0.000, 0.500, 0.000), Sr at (0.000, 0.000, 0.500), Sc at (0.500, 0.500, 0.000) and Se at (0.500, 0.500, 0.500).

The theoretical density is 3.248 Mg/m³. The crystal system is tetragonal.

=====

Stability check: which of them is least stable? A.

=====

A.
Here is a relaxed structure of BaSrSc2 from Alexandria. Energies are from PBE.

The structure belongs to space group Pmmm (No. 47); the cell edges are 4.275, 5.786 and 5.896 Å and the angles 90.00°, 90.00° and 90.00°. The asymmetric unit holds Ba at (0.000, 0.000, 0.000), Sr at (0.500, 0.500, 0.000), Sc at (0.000, 0.500, 0.500) and Sc at (0.500, 0.000, 0.500).

The theoretical density is 3.585 Mg/m³. The crystal system is orthorhombic.

=====

B.
Here is a relaxed structure of BaSrSc2 from Alexandria. Energies are from PBE.

The structure belongs to space group Imm2 (No. 44); the cell edges are 3.925, 6.201 and 12.299 Å and the angles 90.00°, 90.00° and 90.00°. The asymmetric unit holds Ba at (0.000, 0.000, 0.000), Sr at (0.000, 0.500, 0.211), Sc at (0.000, 0.000, 0.455) and Sc at (0.000, 0.500, 0.759).

The theoretical density is 3.493 Mg/m³. The crystal system is orthorhombic.

=====

Stability check: which of them is least stable? A.

=====

A.
Here is a relaxed structure of BaSrSc from Alexandria. Energies are from PBE.

The structure belongs to space group F-43m (No. 216); the cell edges are 8.628, 8.628 and 8.628 Å and the angles 90.00°, 90.00° and 90.00°. The asymmetric unit holds Ba at (0.000, 0.000, 0.000), Sr at (0.000, 0.000, 0.500) and Sc at (0.250, 0.250, 0.250).

The theoretical density is 2.791 Mg/m³. The crystal system is cubic.

=====

B.
Here is a relaxed structure of BaSrSc from Alexandria. Energies are from PBE.

The structure belongs to space group I4mm (No. 107); the cell edges are 4.229, 4.229 and 14.639 Å and the angles 90.00°, 90.00° and 90.00°. The asymmetric unit holds Ba at (0.000, 0.000, 0.000), Sr at (0.000, 0.000, 0.292) and Sc at (0.000, 0.000, 0.650).

The theoretical density is 3.423 Mg/m³. The crystal system is tetragonal.

=====

Stability check: which of them is least stable? A.